1.
PuAlCrO6 | PBE with a Hubbard U | relaxed

The structure in POSCAR format:
```
PuAlCrO6
1.0
5.129 0.000 0.000
-2.564 4.442 0.000
0.000 0.000 8.755
O Pu Cr Al
12 2 2 2
Direct
0.654 0.978 0.870
0.346 0.022 0.130
0.978 0.654 0.370
0.654 0.676 0.630
0.022 0.346 0.630
0.324 0.346 0.870
0.324 0.978 0.630
0.022 0.676 0.870
0.346 0.324 0.370
0.978 0.324 0.130
0.676 0.654 0.130
0.676 0.022 0.370
0.333 0.667 0.250
0.667 0.333 0.750
0.000 0.000 0.500
0.000 0.000 0.000
0.333 0.667 0.750
0.667 0.333 0.250
```

Calculated values
The total energy comes out at -8.49 eV per atom. The crystal system is trigonal.


2.
Rb2AlCrO4 | PBE with a Hubbard U | relaxed

The structure in POSCAR format:
```
Rb2AlCrO4
1.0
-1.479 4.868 -1.192
-4.661 2.384 4.068
6.580 6.174 5.598
Cr O Al Rb
2 8 2 4
Direct
0.000 0.000 0.000
0.750 0.500 0.500
0.140 0.340 0.416
0.305 0.840 0.084
0.610 0.160 0.084
0.521 0.340 0.584
0.895 0.660 0.584
0.855 0.840 0.916
0.229 0.160 0.916
0.445 0.660 0.416
0.250 0.500 0.500
0.500 0.000 0.000
0.824 0.000 0.351
0.926 0.500 0.149
0.574 0.500 0.851
0.176 0.000 0.649
```

Calculated values
The total energy comes out at -6.06 eV per atom. The crystal system is orthorhombic.


3.
RbAlCr2O8 | PBE with a Hubbard U | relaxed

The structure in POSCAR format:
```
RbAlCr2O8
1.0
5.301 0.000 0.000
-2.651 4.591 0.000
0.000 0.000 7.956
Al O Rb Cr
1 8 1 2
Direct
0.000 0.000 0.500
0.667 0.333 0.087
0.220 0.893 0.642
0.107 0.326 0.642
0.333 0.667 0.913
0.326 0.220 0.358
0.780 0.107 0.358
0.674 0.780 0.642
0.893 0.674 0.358
0.000 0.000 0.000
0.667 0.333 0.292
0.333 0.667 0.708
```

Calculated values
The total energy comes out at -6.67 eV per atom. The crystal system is trigonal.


4.
AlCrRhO6 | PBE with a Hubbard U | relaxed

The structure in POSCAR format:
```
AlCrRhO6
1.0
4.492 0.000 0.000
0.000 4.492 0.000
0.000 0.000 8.944
Rh O Al Cr
2 12 2 2
Direct
0.000 0.000 0.666
0.500 0.500 0.166
0.193 0.807 0.169
0.299 0.299 0.337
0.693 0.693 0.669
0.303 0.303 0.994
0.307 0.307 0.669
0.803 0.197 0.494
0.201 0.799 0.837
0.701 0.701 0.337
0.799 0.201 0.837
0.697 0.697 0.994
0.197 0.803 0.494
0.807 0.193 0.169
0.500 0.500 0.833
0.000 0.000 0.333
0.000 0.000 0.001
0.500 0.500 0.501
```

Calculated values
The total energy comes out at -6.93 eV per atom. The crystal system is tetragonal.


5.
Al2CrSbO8 | PBE with a Hubbard U | relaxed

The structure in POSCAR format:
```
Al2CrSbO8
1.0
-5.520 -0.582 0.393
3.312 -2.181 3.903
-0.293 4.733 2.893
O Sb Cr Al
8 1 1 2
Direct
0.153 0.846 0.743
0.846 0.693 0.257
0.307 0.153 0.257
0.693 0.847 0.743
0.154 0.307 0.743
0.333 0.667 0.140
0.667 0.333 0.860
0.847 0.154 0.257
0.000 0.000 0.500
0.000 0.000 0.000
0.667 0.333 0.179
0.333 0.667 0.821
```

Calculated values
The total energy comes out at -6.53 eV per atom. The crystal system is trigonal.


6.
Sc2AlCrO6 | PBE with a Hubbard U | relaxed

The structure in POSCAR format:
```
Sc2AlCrO6
1.0
-3.547 -3.762 0.093
-1.215 -2.517 -4.353
1.674 -5.145 -0.565
O Cr Sc Al
6 1 2 1
Direct
0.687 0.104 0.769
0.199 0.953 0.258
0.589 0.199 0.258
0.953 0.589 0.258
0.104 0.440 0.769
0.440 0.687 0.769
0.817 0.817 0.548
0.029 0.029 0.914
0.527 0.527 0.418
0.315 0.315 0.054
```

Calculated values
The total energy comes out at -8.34 eV per atom. The crystal system is trigonal.


7.
AlCrSe2O | PBE with a Hubbard U | relaxed

The structure in POSCAR format:
```
AlCrSe2O
1.0
-3.896 2.992 1.774
-0.846 -2.401 2.190
3.220 2.094 3.540
Se Al O Cr
2 1 1 1
Direct
0.000 0.000 0.500
0.500 0.000 0.000
0.000 0.000 0.000
0.000 0.500 0.000
0.500 0.500 0.500
```

Calculated values
The total energy comes out at -5.39 eV per atom. The crystal system is tetragonal.


8.
SmAl3Cr4O12 | PBE with a Hubbard U | relaxed

The structure in POSCAR format:
```
SmAl3Cr4O12
1.0
6.409 0.000 0.000
-2.136 6.043 0.000
-2.136 -3.021 5.233
O Cr Sm Al
12 4 1 3
Direct
0.514 0.684 0.830
0.830 0.146 0.316
0.830 0.514 0.684
0.316 0.170 0.486
0.170 0.854 0.684
0.684 0.830 0.514
0.486 0.316 0.170
0.170 0.486 0.316
0.854 0.684 0.170
0.316 0.830 0.146
0.146 0.316 0.830
0.684 0.170 0.854
0.500 0.000 0.000
0.500 0.500 0.500
0.000 0.500 0.000
0.000 0.000 0.500
0.000 0.000 0.000
0.000 0.500 0.500
0.500 0.000 0.500
0.500 0.500 0.000
```

Calculated values
The total energy comes out at -7.67 eV per atom. The crystal system is cubic.


9.
Sm2AlCrO6 | PBE with a Hubbard U | relaxed

The structure in POSCAR format:
```
Sm2AlCrO6
1.0
3.828 0.000 0.000
0.000 5.381 0.000
0.000 0.000 5.381
Sm O Al Cr
2 6 1 1
Direct
0.145 0.500 0.000
0.145 0.000 0.500
0.145 0.000 0.000
0.145 0.500 0.500
0.644 0.244 0.756
0.644 0.756 0.756
0.644 0.756 0.244
0.644 0.244 0.244
0.645 0.000 0.000
0.645 0.500 0.500
```

Calculated values
The total energy comes out at -7.94 eV per atom. The crystal system is tetragonal.


10.
AlCr2SnO6 | PBE with a Hubbard U | relaxed

The structure in POSCAR format:
```
AlCr2SnO6
1.0
-4.510 0.857 -2.438
-0.273 -0.715 -5.058
-3.008 -4.362 -1.784
O Al Cr Sn
6 1 2 1
Direct
0.953 0.601 0.240
0.709 0.097 0.788
0.415 0.705 0.760
0.189 0.971 0.235
0.121 0.412 0.755
0.597 0.212 0.238
0.323 0.317 0.047
0.526 0.523 0.424
0.011 0.015 0.960
0.817 0.810 0.568
```

Calculated values
The total energy comes out at -7.24 eV per atom. The crystal system is triclinic.


11.
AlCrSnO6 | PBE with a Hubbard U | relaxed

The structure in POSCAR format:
```
AlCrSnO6
1.0
-4.436 -0.405 -1.065
-0.241 -3.850 2.468
-2.205 4.842 7.340
Sn Cr O Al
2 2 12 2
Direct
0.500 0.500 0.166
0.000 0.000 0.666
0.500 0.500 0.500
0.000 0.000 0.000
0.817 0.183 0.168
0.295 0.295 0.989
0.204 0.796 0.844
0.796 0.204 0.844
0.317 0.317 0.668
0.683 0.683 0.668
0.183 0.817 0.168
0.705 0.705 0.989
0.296 0.296 0.344
0.704 0.704 0.344
0.795 0.205 0.489
0.205 0.795 0.489
0.500 0.500 0.833
0.000 0.000 0.333
```

Calculated values
The total energy comes out at -6.79 eV per atom. The crystal system is tetragonal.


12.
AlCrSnO2 | PBE with a Hubbard U | relaxed

The structure in POSCAR format:
```
AlCrSnO2
1.0
3.746 0.000 0.000
0.000 5.701 0.000
0.000 0.000 3.746
O Cr Sn Al
2 1 1 1
Direct
0.000 0.000 0.500
0.500 0.000 0.000
0.000 0.500 0.000
0.500 0.500 0.500
0.000 0.000 0.000
```

Calculated values
The total energy comes out at -5.70 eV per atom. The crystal system is tetragonal.


13.
Sr2Al2CrO6 | PBE with a Hubbard U | relaxed

The structure in POSCAR format:
```
Sr2Al2CrO6
1.0
-0.381 -2.246 -5.239
-3.145 -4.688 -0.876
-5.599 0.848 -3.071
O Sr Al Cr
6 2 2 1
Direct
0.762 0.239 0.237
0.762 0.762 0.237
0.761 0.238 0.763
0.238 0.238 0.763
0.238 0.761 0.763
0.239 0.762 0.237
0.794 0.794 0.618
0.206 0.206 0.382
0.578 0.578 0.265
0.422 0.422 0.735
0.000 0.000 0.000
```

Calculated values
The total energy comes out at -6.77 eV per atom. The crystal system is trigonal.


14.
Sr3AlCr3O8 | PBE with a Hubbard U | relaxed

The structure in POSCAR format:
```
Sr3AlCr3O8
1.0
-5.396 2.865 0.848
-0.208 -6.420 -2.062
1.686 1.319 6.268
Cr O Sr Al
3 8 3 1
Direct
0.000 0.500 0.500
0.500 0.500 0.500
0.500 0.000 0.500
0.794 0.588 0.336
0.278 0.556 0.315
0.225 0.978 0.292
0.775 0.022 0.708
0.722 0.444 0.685
0.247 0.022 0.708
0.206 0.412 0.664
0.753 0.978 0.292
0.000 0.500 0.000
0.000 0.000 0.000
0.500 0.500 0.000
0.000 0.000 0.500
```

Calculated values
The total energy comes out at -6.95 eV per atom. The crystal system is monoclinic.


15.
Sr3Al2CrO8 | PBE with a Hubbard U | relaxed

The structure in POSCAR format:
```
Sr3Al2CrO8
1.0
-4.067 -1.806 3.233
5.228 -1.185 1.235
0.431 5.896 3.835
O Al Sr Cr
8 2 3 1
Direct
0.164 0.836 0.333
0.333 0.667 0.981
0.672 0.836 0.333
0.164 0.328 0.333
0.836 0.164 0.667
0.667 0.333 0.019
0.328 0.164 0.667
0.836 0.672 0.667
0.333 0.667 0.222
0.667 0.333 0.778
0.333 0.667 0.656
0.000 0.000 0.000
0.667 0.333 0.344
0.000 0.000 0.500
```

Calculated values
The total energy comes out at -6.89 eV per atom. The crystal system is trigonal.


16.
SrAlCr2O6 | PBE with a Hubbard U | relaxed

The structure in POSCAR format:
```
SrAlCr2O6
1.0
5.235 0.007 0.019
2.624 4.489 -0.024
2.636 1.464 4.683
Al O Cr Sr
1 6 2 1
Direct
0.322 0.317 0.043
0.261 0.921 0.212
0.201 0.313 0.757
0.724 0.203 0.755
0.311 0.729 0.759
0.608 0.252 0.215
0.921 0.604 0.215
0.523 0.523 0.436
0.012 0.019 0.966
0.779 0.781 0.657
```

Calculated values
The total energy comes out at -7.23 eV per atom. The crystal system is triclinic.


17.
Tb2AlCrO6 | PBE with a Hubbard U | relaxed

The structure in POSCAR format:
```
Tb2AlCrO6
1.0
3.968 0.000 0.000
0.000 5.332 0.000
0.000 0.000 5.332
O Tb Al Cr
6 2 1 1
Direct
0.688 0.757 0.757
0.164 0.000 0.000
0.152 0.500 0.500
0.688 0.243 0.243
0.688 0.757 0.243
0.688 0.243 0.757
0.055 0.500 0.000
0.055 0.000 0.500
0.628 0.000 0.000
0.643 0.500 0.500
```

Calculated values
The total energy comes out at -7.92 eV per atom. The crystal system is tetragonal.


18.
TbAlCr2O6 | PBE with a Hubbard U | relaxed

The structure in POSCAR format:
```
TbAlCr2O6
1.0
5.215 0.000 0.000
2.607 4.516 0.000
2.607 1.505 4.621
Cr O Al Tb
2 6 1 1
Direct
0.520 0.520 0.440
0.012 0.012 0.965
0.367 0.715 0.756
0.602 0.243 0.228
0.715 0.162 0.756
0.162 0.367 0.756
0.927 0.602 0.228
0.243 0.927 0.228
0.318 0.318 0.046
0.796 0.796 0.613
```

Calculated values
The total energy comes out at -7.87 eV per atom. The crystal system is trigonal.


19.
AlCrTcO6 | PBE with a Hubbard U | relaxed

The structure in POSCAR format:
```
AlCrTcO6
1.0
4.544 0.000 0.000
0.000 4.544 0.000
0.000 0.000 8.935
O Tc Al Cr
12 2 2 2
Direct
0.310 0.310 0.998
0.200 0.800 0.173
0.190 0.810 0.498
0.300 0.300 0.673
0.800 0.200 0.173
0.700 0.700 0.673
0.201 0.799 0.829
0.299 0.299 0.329
0.690 0.690 0.998
0.799 0.201 0.829
0.810 0.190 0.498
0.701 0.701 0.329
0.000 0.000 0.666
0.500 0.500 0.166
0.500 0.500 0.833
0.000 0.000 0.333
0.000 0.000 0.001
0.500 0.500 0.501
```

Calculated values
The total energy comes out at -7.63 eV per atom. The crystal system is tetragonal.


20.
AlCrTeO2 | PBE with a Hubbard U | relaxed

The structure in POSCAR format:
```
AlCrTeO2
1.0
4.115 0.000 0.000
0.000 5.485 0.000
0.000 0.000 4.115
Cr Te O Al
1 1 2 1
Direct
0.000 0.500 0.000
0.000 0.000 0.000
0.500 0.000 0.000
0.000 0.000 0.500
0.500 0.500 0.500
```

Calculated values
The total energy comes out at -4.86 eV per atom. The crystal system is tetragonal.